[1]
## ZrAsCl2 (PBE)

Data for a geometry-optimized ZrAsCl2 structure.

Properties
E_form (uncorrected) in meV per atom: -360

a = 6.828 Å, b = 6.828 Å, c = 6.828 Å
α = 90.00°, β = 90.00°, γ = 90.00°
Space group F-43m (No. 216)
Symmetry-distinct sites (fractional):
Zr: 0.000 0.000 0.000 (multiplicity 4)
As: 0.250 0.250 0.250 (multiplicity 4)
Cl: 0.000 0.000 0.500 (multiplicity 4)
Cl: 0.250 0.250 0.750 (multiplicity 4)



[2]
## Ti2ReBiB (PBE)

Data for a geometry-optimized Ti2ReBiB structure.

Properties
Formation energy from the elements in meV/atom: 1509

a = 4.761 Å, b = 4.761 Å, c = 5.199 Å
α = 90.00°, β = 90.00°, γ = 90.00°
Space group P4/mmm (No. 123)
Symmetry-distinct sites (fractional):
Ti: 0.000 0.500 0.000 (multiplicity 2)
Re: 0.000 0.000 0.000 (multiplicity 1)
Bi: 0.000 0.000 0.500 (multiplicity 1)
B: 0.500 0.500 0.500 (multiplicity 1)



[3]
## TcRuSe2N (PBE)

Data for a geometry-optimized TcRuSe2N structure.

Properties
E_form (uncorrected) in meV per atom: 962

a = 4.516 Å, b = 4.516 Å, c = 3.779 Å
α = 90.00°, β = 90.00°, γ = 90.00°
Space group P4/mmm (No. 123)
Symmetry-distinct sites (fractional):
Tc: 0.000 0.000 0.000 (multiplicity 1)
Ru: 0.500 0.500 0.000 (multiplicity 1)
Se: 0.000 0.500 0.500 (multiplicity 2)
N: 0.000 0.000 0.500 (multiplicity 1)



[4]
## SbPb3Au (PBE)

Data for a geometry-optimized SbPb3Au structure.

Properties
E_form (uncorrected) in meV per atom: 291

a = 5.545 Å, b = 5.545 Å, c = 5.545 Å
α = 90.00°, β = 90.00°, γ = 90.00°
Space group Pm-3m (No. 221)
Symmetry-distinct sites (fractional):
Sb: 0.000 0.000 0.000 (multiplicity 1)
Pb: 0.000 0.500 0.500 (multiplicity 3)
Au: 0.500 0.500 0.500 (multiplicity 1)



[5]
## TbSmTh2 (PBE)

Data for a geometry-optimized TbSmTh2 structure.

Properties
Formation energy from the elements in meV/atom: 273

a = 8.883 Å, b = 17.725 Å, c = 3.544 Å
α = 90.00°, β = 98.87°, γ = 90.00°
Space group C2/c (No. 15)
Symmetry-distinct sites (fractional):
Tb: 0.000 0.087 0.250 (multiplicity 4)
Sm: 0.250 0.250 0.500 (multiplicity 4)
Th: 0.162 0.417 0.045 (multiplicity 8)



[6]
## ThGa4Ni2Rh (PBE)

Data for a geometry-optimized ThGa4Ni2Rh structure.

Properties
Formation energy from the elements in meV/atom: -510

a = 4.1484 Å, b = 4.1484 Å, c = 26.6651 Å
α = 90.00°, β = 90.00°, γ = 120.00°
Space group R-3m (No. 166, hexagonal axes)
Symmetry-distinct sites (fractional):
Th: 0.0000 0.0000 0.0000 (multiplicity 3)
Ga: 0.0000 0.0000 0.1296 (multiplicity 6)
Ga: 0.0000 0.0000 0.4036 (multiplicity 6)
Ni: 0.0000 0.0000 0.2309 (multiplicity 6)
Rh: 0.0000 0.0000 0.5000 (multiplicity 3)



[7]
## Sr2Sb2Pd3 (PBE)

Data for a geometry-optimized Sr2Sb2Pd3 structure.

Properties
E_form (uncorrected) in meV per atom: -744

a = 11.491 Å, b = 4.470 Å, c = 7.270 Å
α = 90.00°, β = 114.07°, γ = 90.00°
Space group C2/m (No. 12)
Symmetry-distinct sites (fractional):
Sr: 0.135 0.000 0.256 (multiplicity 4)
Sb: 0.146 0.000 0.733 (multiplicity 4)
Pd: 0.000 0.500 0.500 (multiplicity 2)
Pd: 0.126 0.500 0.928 (multiplicity 4)



[8]
## MnSiP2 (PBE)

Data for a geometry-optimized MnSiP2 structure.

Properties
E_form (uncorrected) in meV per atom: 154

a = 7.530 Å, b = 3.105 Å, c = 4.615 Å
α = 90.00°, β = 96.18°, γ = 90.00°
Space group C2/m (No. 12)
Symmetry-distinct sites (fractional):
Mn: 0.000 0.000 0.000 (multiplicity 2)
Si: 0.000 0.500 0.500 (multiplicity 2)
P: 0.222 0.500 0.196 (multiplicity 4)



[9]
## NaNiPS2 (PBE)

Data for a geometry-optimized NaNiPS2 structure.

Properties
E_form (uncorrected) in meV per atom: 1479

a = 4.808 Å, b = 4.808 Å, c = 4.768 Å
α = 90.00°, β = 90.00°, γ = 90.00°
Space group P4/mmm (No. 123)
Symmetry-distinct sites (fractional):
Na: 0.000 0.000 0.000 (multiplicity 1)
Ni: 0.500 0.500 0.500 (multiplicity 1)
P: 0.000 0.000 0.500 (multiplicity 1)
S: 0.000 0.500 0.000 (multiplicity 2)



[10]
## Tb7Te2Au2 (PBE)

Data for a geometry-optimized Tb7Te2Au2 structure.

Properties
E_form (uncorrected) in meV per atom: -452

a = 8.043 Å, b = 10.697 Å, c = 7.672 Å
α = 90.00°, β = 90.00°, γ = 90.00°
Space group Cmmm (No. 65)
Symmetry-distinct sites (fractional):
Tb: 0.000 0.000 0.000 (multiplicity 2)
Tb: 0.000 0.500 0.277 (multiplicity 4)
Tb: 0.250 0.250 0.287 (multiplicity 8)
Te: 0.000 0.284 0.000 (multiplicity 4)
Au: 0.194 0.000 0.500 (multiplicity 4)



[11]
## La2Be2Pd5 (PBE)

Data for a geometry-optimized La2Be2Pd5 structure.

Properties
Formation energy from the elements in meV/atom: -671

a = 4.144 Å, b = 4.144 Å, c = 9.299 Å
α = 90.00°, β = 90.00°, γ = 90.00°
Space group P4/mmm (No. 123)
Symmetry-distinct sites (fractional):
La: 0.000 0.000 0.000 (multiplicity 1)
La: 0.000 0.000 0.500 (multiplicity 1)
Be: 0.500 0.500 0.140 (multiplicity 2)
Pd: 0.000 0.500 0.259 (multiplicity 4)
Pd: 0.500 0.500 0.500 (multiplicity 1)



[12]
## Cs2Cu3F8 (PBE)

Data for a geometry-optimized Cs2Cu3F8 structure.

Properties
E_form (uncorrected) in meV per atom: -1911

a = 5.986 Å, b = 6.702 Å, c = 7.001 Å
α = 76.22°, β = 89.99°, γ = 63.52°
Space group P-1 (No. 2)
Symmetry-distinct sites (fractional):
Cs: 0.194 0.110 0.169 (multiplicity 2)
Cu: 0.251 0.500 0.500 (multiplicity 2)
Cu: 0.500 0.500 0.000 (multiplicity 1)
F: 0.108 0.284 0.517 (multiplicity 2)
F: 0.225 0.608 0.147 (multiplicity 2)
F: 0.332 0.392 0.853 (multiplicity 2)
F: 0.395 0.710 0.514 (multiplicity 2)